## CaAcNi2P2 (PBE)

Data for an optimized crystal structure of CaAcNi2P2.

a = 3.9892 Å, b = 3.9892 Å, c = 8.4295 Å
α = 90.00°, β = 90.00°, γ = 120.00°
Space group P-3m1 (No. 164)
One atom of each set of equivalent atoms:
Ca  0.0000  0.0000  0.0000 [1 per cell]
Ac  0.0000  0.0000  0.5000 [1 per cell]
Ni  0.3333  0.6667  0.2420 [2 per cell]
P  0.3333  0.6667  0.7622 [2 per cell]

Results
The energy of formation from the pure elements comes out at -0.988 eV per atom. The final energy comes out at -34.42 eV/f.u.

=====

## CaAcNiP (PBE)

Data for an optimized crystal structure of CaAcNiP.

a = 7.229 Å, b = 7.229 Å, c = 7.229 Å
α = 90.00°, β = 90.00°, γ = 90.00°
Space group F-43m (No. 216)
One atom of each set of equivalent atoms:
Ca  0.000  0.000  0.000 [4 per cell]
Ac  0.000  0.000  0.500 [4 per cell]
Ni  0.250  0.250  0.250 [4 per cell]
P  0.250  0.250  0.750 [4 per cell]

Results
The energy of formation from the pure elements comes out at -0.536 eV per atom. The final energy comes out at -19.45 eV/f.u.

=====

## CaAcNiPd (PBE)

Data for an optimized crystal structure of CaAcNiPd.

a = 4.329 Å, b = 4.086 Å, c = 11.273 Å
α = 90.00°, β = 90.00°, γ = 90.00°
Space group Amm2 (No. 38)
One atom of each set of equivalent atoms:
Ca  0.000  0.000  0.000 [2 per cell]
Ac  0.500  0.000  0.722 [2 per cell]
Ni  0.000  0.000  0.289 [2 per cell]
Pd  0.500  0.000  0.436 [2 per cell]

Results
The calculation puts the energy relative to the lowest polymorph listed for this composition at 0 meV per atom. The energy of formation from the pure elements comes out at -0.482 eV per atom. The final energy comes out at -19.01 eV/f.u.

=====

## CaAcNiPd (PBE)

Data for an optimized crystal structure of CaAcNiPd.

a = 7.270 Å, b = 7.270 Å, c = 7.270 Å
α = 90.00°, β = 90.00°, γ = 90.00°
Space group F-43m (No. 216)
One atom of each set of equivalent atoms:
Ca  0.000  0.000  0.000 [4 per cell]
Ac  0.000  0.000  0.500 [4 per cell]
Ni  0.250  0.250  0.750 [4 per cell]
Pd  0.250  0.250  0.250 [4 per cell]

Results
The calculation puts the energy relative to the lowest polymorph listed for this composition at 99 meV per atom. The energy of formation from the pure elements comes out at -0.383 eV per atom. The final energy comes out at -18.62 eV/f.u.

=====

## CaAcNiPt (PBE)

Data for an optimized crystal structure of CaAcNiPt.

a = 7.234 Å, b = 7.234 Å, c = 7.234 Å
α = 90.00°, β = 90.00°, γ = 90.00°
Space group F-43m (No. 216)
One atom of each set of equivalent atoms:
Ca  0.000  0.000  0.000 [4 per cell]
Ac  0.000  0.000  0.500 [4 per cell]
Ni  0.250  0.250  0.750 [4 per cell]
Pt  0.250  0.250  0.250 [4 per cell]

Results
The calculation puts the energy relative to the lowest polymorph listed for this composition at 102 meV per atom. The energy of formation from the pure elements comes out at -0.539 eV per atom. The final energy comes out at -20.09 eV/f.u.

=====

## CaAcNiPt (PBE)

Data for an optimized crystal structure of CaAcNiPt.

a = 4.337 Å, b = 4.099 Å, c = 11.118 Å
α = 90.00°, β = 90.00°, γ = 90.00°
Space group Amm2 (No. 38)
One atom of each set of equivalent atoms:
Ca  0.000  0.000  0.000 [2 per cell]
Ac  0.500  0.000  0.720 [2 per cell]
Ni  0.000  0.000  0.295 [2 per cell]
Pt  0.500  0.000  0.436 [2 per cell]

Results
The calculation puts the energy relative to the lowest polymorph listed for this composition at 0 meV per atom. The energy of formation from the pure elements comes out at -0.640 eV per atom. The final energy comes out at -20.49 eV/f.u.

=====

## CaAcNiRh (PBE)

Data for an optimized crystal structure of CaAcNiRh.

a = 4.280 Å, b = 4.179 Å, c = 10.839 Å
α = 90.00°, β = 90.00°, γ = 90.00°
Space group Amm2 (No. 38)
One atom of each set of equivalent atoms:
Ca  0.000  0.000  0.000 [2 per cell]
Ac  0.500  0.000  0.718 [2 per cell]
Ni  0.000  0.000  0.300 [2 per cell]
Rh  0.500  0.000  0.428 [2 per cell]

Results
The calculation puts the energy relative to the lowest polymorph listed for this composition at 0 meV per atom. The energy of formation from the pure elements comes out at -0.378 eV per atom. The final energy comes out at -20.75 eV/f.u.

=====

## CaAcNiRh (PBE)

Data for an optimized crystal structure of CaAcNiRh.

a = 7.157 Å, b = 7.157 Å, c = 7.157 Å
α = 90.00°, β = 90.00°, γ = 90.00°
Space group F-43m (No. 216)
One atom of each set of equivalent atoms:
Ca  0.000  0.000  0.000 [4 per cell]
Ac  0.000  0.000  0.500 [4 per cell]
Ni  0.250  0.250  0.250 [4 per cell]
Rh  0.250  0.250  0.750 [4 per cell]

Results
The calculation puts the energy relative to the lowest polymorph listed for this composition at 109 meV per atom. The energy of formation from the pure elements comes out at -0.269 eV per atom. The final energy comes out at -20.32 eV/f.u.

=====

## CaAcNi2Sb2 (PBE)

Data for an optimized crystal structure of CaAcNi2Sb2.

a = 4.3977 Å, b = 4.3977 Å, c = 8.7439 Å
α = 90.00°, β = 90.00°, γ = 120.00°
Space group P-3m1 (No. 164)
One atom of each set of equivalent atoms:
Ca  0.0000  0.0000  0.0000 [1 per cell]
Ac  0.0000  0.0000  0.5000 [1 per cell]
Ni  0.3333  0.6667  0.2464 [2 per cell]
Sb  0.3333  0.6667  0.7649 [2 per cell]

Results
As for the uncorrected formation energy: -4.42 eV per formula unit. The final energy comes out at -30.34 eV/f.u.

=====

## CaAcNiSn (PBE)

Data for an optimized crystal structure of CaAcNiSn.

a = 7.649 Å, b = 7.649 Å, c = 7.649 Å
α = 90.00°, β = 90.00°, γ = 90.00°
Space group F-43m (No. 216)
One atom of each set of equivalent atoms:
Ca  0.000  0.000  0.000 [4 per cell]
Ac  0.000  0.000  0.500 [4 per cell]
Ni  0.250  0.250  0.750 [4 per cell]
Sn  0.250  0.250  0.250 [4 per cell]

Results
The energy of formation from the pure elements comes out at -0.286 eV per atom. The final energy comes out at -17.04 eV/f.u.

=====

## CaAcTlNi (PBE)

Data for an optimized crystal structure of CaAcTlNi.

a = 7.666 Å, b = 7.666 Å, c = 7.666 Å
α = 90.00°, β = 90.00°, γ = 90.00°
Space group F-43m (No. 216)
One atom of each set of equivalent atoms:
Ca  0.000  0.000  0.000 [4 per cell]
Ac  0.000  0.000  0.500 [4 per cell]
Tl  0.250  0.250  0.250 [4 per cell]
Ni  0.250  0.250  0.750 [4 per cell]

Results
The energy of formation from the pure elements comes out at -0.127 eV per atom. The final energy comes out at -14.77 eV/f.u.

=====

## CaAcNpO6 (PBE)

Data for an optimized crystal structure of CaAcNpO6.

a = 6.1653 Å, b = 6.1653 Å, c = 8.9682 Å
α = 90.00°, β = 90.00°, γ = 120.00°
Space group P-31c (No. 163)
One atom of each set of equivalent atoms:
Ca  0.0000  0.0000  0.0000 [2 per cell]
Ac  0.3333  0.6667  0.2500 [2 per cell]
Np  0.3333  0.6667  0.7500 [2 per cell]
O  0.0565  0.3817  0.6311 [12 per cell]

Results
As for the uncorrected formation energy: -26.08 eV per formula unit. The final energy comes out at -74.88 eV/f.u.